Computed, not measured: an optimized crystal structure of Al13Mo2 at the PBE-GGA level of DFT.

Cell lengths 5.3833, 7.1616, 7.3985 Å; angles 120.33, 83.08, 94.48 degrees
Last column: nearest neighbours and their distance in Å.
Positions (direct):
Mo  0.7576  0.8257  0.6545  10 Al 2.62-2.82
Mo  0.2424  0.1743  0.3455  10 Al 2.62-2.82
Al  0.7491  0.5605  0.0265  11 Al 2.72-2.96
Al  0.2509  0.4395  0.9735  11 Al 2.72-2.96
Al  0.0000  0.0000  0.0000  2 Mo 2.67, 6 Al 2.73-2.91
Al  0.3319  0.0015  0.6604  7 Al 2.64-2.91, 1 Mo 2.69
Al  0.6681  0.9985  0.3396  7 Al 2.64-2.91, 1 Mo 2.69
Al  0.0701  0.5669  0.6900  9 Al 2.66-2.96, 2 Mo 2.72-2.80
Al  0.9299  0.4331  0.3100  9 Al 2.66-2.96, 2 Mo 2.72-2.80
Al  0.4362  0.5606  0.3679  9 Al 2.68-2.89, 2 Mo 2.72-2.81
Al  0.5638  0.4394  0.6321  9 Al 2.68-2.89, 2 Mo 2.72-2.81
Al  0.4342  0.8144  0.9792  7 Al 2.57-2.86, 2 Mo 2.78-2.82
Al  0.5658  0.1856  0.0208  7 Al 2.57-2.86, 2 Mo 2.78-2.82
Al  0.9173  0.1918  0.6775  2 Mo 2.62-2.79, 7 Al 2.64-2.86
Al  0.0827  0.8082  0.3225  2 Mo 2.62-2.79, 7 Al 2.64-2.86

Properties
Formation energy from the elements = -0.103 eV per atom
Space group = No. 2
Energy = -0.352 Ry/atom
Total moment = 0.0 Bohr magnetons per cell